Density functional theory data (PBE) for a relaxed Na3NdHg4 crystal.

Lattice parameters (Å, degrees): 5.3033 5.3033 9.1736 73.20 73.20 60.00
Atoms (fractional coordinates):
Na  0.2470  0.2470  0.2590
Hg  0.6274  0.6274  0.1179
Na  0.5000  0.5000  0.5000
Na  0.7530  0.7530  0.7410
Nd  0.0000  0.0000  0.0000
Hg  0.8780  0.8780  0.3661
Hg  0.1220  0.1220  0.6339
Hg  0.3726  0.3726  0.8821

Output
ΔH_f (0 K) = -0.2948 eV per atom
Mass density = 8.0 g cm⁻³
Space-group type = R-3m, No. 166
M_tot = 0.00 Bohr magnetons per cell